The following is a DFT calculation (GGA-PBE) of a geometry-optimized Li4SbPbAu2 structure.

a b c (Å): 4.659 4.659 6.694
angles (deg): 90.00 90.00 90.00
Positions (direct):
Au 0.500 0.000 0.743
Pb 0.500 0.500 0.000
Li 0.000 0.000 0.000
Li 0.000 0.500 0.747
Sb 0.000 0.000 0.500
Au 0.000 0.500 0.257
Li 0.500 0.500 0.500
Li 0.500 0.000 0.253

Computed properties:
total DFT energy (no corrections) = -25.8 eV/cell
crystal system = tetragonal


The following is a DFT calculation (GGA-PBE) of a geometry-optimized TbGd2Cd3Ag3 structure.

a b c (Å): 3.925 7.885 7.885
angles (deg): 119.97 90.00 90.00
Positions (direct):
Tb 0.000 0.595 0.595
Ag 0.500 0.666 0.334
Cd 0.500 0.000 0.737
Cd 0.500 0.737 0.000
Ag 0.000 0.000 0.000
Cd 0.500 0.263 0.263
Gd 0.000 0.404 0.000
Ag 0.500 0.334 0.666
Gd 0.000 0.000 0.404

Computed properties:
size of the total moment = 0.0 μB per formula unit
total DFT energy (no corrections) = -28.2 eV/cell
energy of formation from the pure elements = -0.34 eV/atom
crystal system = orthorhombic


The following is a DFT calculation (GGA-PBE) of a geometry-optimized GdDy2Mg3TlGa2 structure.

a b c (Å): 4.562 7.351 7.351
angles (deg): 120.16 90.00 90.00
Positions (direct):
Ga 0.500 0.668 0.333
Tl 0.000 0.999 0.999
Mg 0.500 0.000 0.250
Ga 0.500 0.333 0.668
Mg 0.500 0.750 0.750
Gd 0.000 0.437 0.437
Dy 0.000 0.563 0.000
Mg 0.500 0.250 0.000
Dy 0.000 0.000 0.563

Computed properties:
size of the total moment = 0.0 μB per formula unit
total DFT energy (no corrections) = -30.9 eV/cell
crystal system = orthorhombic


The following is a DFT calculation (GGA-PBE) of a geometry-optimized BaInGaPd2 structure.

a b c (Å): 4.655 4.655 10.809
angles (deg): 90.00 90.00 90.00
Positions (direct):
Pd 0.000 0.000 0.000
Ga 0.000 0.500 0.892
Pd 0.500 0.500 0.000
Pd 0.000 0.500 0.649
Pd 0.500 0.000 0.351
Ga 0.500 0.000 0.108
In 0.500 0.500 0.500
Ba 0.000 0.500 0.233
Ba 0.500 0.000 0.767
In 0.000 0.000 0.500

Computed properties:
energy relative to the lowest polymorph listed for this composition = 0.0 meV per atom
total DFT energy (no corrections) = -42.6 eV/cell
crystal system = tetragonal


The following is a DFT calculation (GGA-PBE) of a geometry-optimized Sc5Co4Au structure.

a b c (Å): 3.121 3.121 16.392
angles (deg): 90.00 90.00 90.00
Positions (direct):
Co 0.000 0.000 0.787
Co 0.000 0.000 0.405
Sc 0.500 0.500 0.690
Co 0.000 0.000 0.595
Au 0.000 0.000 0.000
Co 0.000 0.000 0.213
Sc 0.500 0.500 0.500
Sc 0.500 0.500 0.120
Sc 0.500 0.500 0.310
Sc 0.500 0.500 0.880

Computed properties:
size of the total moment = 0.3 μB per formula unit
total DFT energy (no corrections) = -67.8 eV/cell
energy of formation from the pure elements = -0.45 eV/atom
crystal system = tetragonal


The following is a DFT calculation (GGA-PBE) of a geometry-optimized PuZrCu structure.

a b c (Å): 4.613 4.613 4.613
angles (deg): 60.00 60.00 60.00
Positions (direct):
Zr 0.750 0.750 0.750
Pu 0.250 0.250 0.250
Cu 0.000 0.000 0.000

Computed properties:
energy relative to the lowest polymorph listed for this composition = 0.0 meV per atom
size of the total moment = 6.5 μB per formula unit
total DFT energy (no corrections) = -25.3 eV/cell
energy of formation from the pure elements = 0.37 eV/atom
crystal system = cubic


The following is a DFT calculation (GGA-PBE) of a geometry-optimized Te2Au9 structure.

a b c (Å): 3.064 3.064 26.966
angles (deg): 90.00 90.00 120.00
Positions (direct):
Au 0.333 0.667 0.167
Te 0.333 0.667 0.433
Au 0.667 0.333 0.833
Au 0.000 0.000 0.251
Au 0.000 0.000 0.749
Au 0.667 0.333 0.335
Au 0.667 0.333 0.084
Au 0.333 0.667 0.665
Au 0.000 0.000 0.000
Te 0.667 0.333 0.567
Au 0.333 0.667 0.916

Computed properties:
total DFT energy (no corrections) = -34.3 eV/cell
crystal system = trigonal


The following is a DFT calculation (GGA-PBE) of a geometry-optimized Rb3AgF6 structure.

a b c (Å): 6.292 6.567 10.896
angles (deg): 90.00 125.18 90.00
Positions (direct):
F 0.113 0.768 0.939
F 0.113 0.732 0.439
F 0.228 0.178 0.458
F 0.317 0.959 0.719
Ag 0.000 0.000 0.500
F 0.772 0.678 0.042
Rb 0.235 0.553 0.750
Rb 0.500 0.000 0.000
F 0.228 0.322 0.958
Rb 0.765 0.053 0.750
F 0.887 0.268 0.561
F 0.317 0.541 0.219
F 0.772 0.822 0.542
F 0.887 0.232 0.061
Rb 0.235 0.947 0.250
Rb 0.500 0.500 0.500
Rb 0.765 0.447 0.250
F 0.683 0.041 0.281
F 0.683 0.459 0.781
Ag 0.000 0.500 0.000

Computed properties:
total DFT energy (no corrections) = -75.0 eV/cell
crystal system = monoclinic


The following is a DFT calculation (GGA-PBE) of a geometry-optimized GdTmSn2Au2 structure.

a b c (Å): 4.694 4.694 7.416
angles (deg): 90.00 90.00 120.00
Positions (direct):
Tm 0.000 0.000 0.233
Sn 0.667 0.333 0.960
Au 0.667 0.333 0.552
Au 0.333 0.667 0.064
Sn 0.333 0.667 0.457
Gd 0.000 0.000 0.734

Computed properties:
size of the total moment = 0.0 μB per formula unit
total DFT energy (no corrections) = -28.5 eV/cell
crystal system = trigonal


The following is a DFT calculation (GGA-PBE) of a geometry-optimized LaPrCu2Ge4 structure.

a b c (Å): 3.102 11.355 11.355
angles (deg): 28.66 90.00 90.00
Positions (direct):
Ge 0.000 0.277 0.277
Ge 0.000 0.056 0.056
Pr 0.000 0.591 0.591
Cu 0.000 0.830 0.830
Cu 0.000 0.170 0.170
Ge 0.000 0.943 0.943
La 0.000 0.411 0.411
Ge 0.000 0.723 0.723

Computed properties:
size of the total moment = 0.0 μB per formula unit
total DFT energy (no corrections) = -33.2 eV/cell
crystal system = orthorhombic


The following is a DFT calculation (GGA-PBE) of a geometry-optimized BiPd15 structure.

a b c (Å): 4.763 34.148 4.766
angles (deg): 90.00 108.93 90.00
Positions (direct):
Pd 0.500 0.729 0.000
Pd 0.500 0.604 0.500
Pd 0.000 0.687 0.000
Pd 0.500 0.187 0.500
Pd 0.500 0.354 0.500
Bi 0.000 0.183 0.000
Pd 0.000 0.228 0.500
Pd 0.000 0.604 0.000
Pd 0.500 0.271 0.500
Pd 0.500 0.396 0.000
Pd 0.000 0.271 0.000
Bi 0.000 0.817 0.500
Pd 0.500 0.438 0.500
Pd 0.000 0.438 0.000
Pd 0.500 0.646 0.000
Pd 0.500 0.521 0.500
Pd 0.500 0.562 0.000
Pd 0.500 0.687 0.500
Pd 0.500 0.772 0.500
Pd 0.000 0.772 0.000
Pd 0.000 0.396 0.500
Pd 0.000 0.479 0.500
Pd 0.000 0.313 0.500
Pd 0.500 0.228 0.000
Pd 0.000 0.521 0.000
Pd 0.500 0.313 0.000
Pd 0.000 0.562 0.500
Pd 0.500 0.479 0.000
Pd 0.000 0.646 0.500
Pd 0.000 0.729 0.500
Pd 0.500 0.813 0.000
Pd 0.000 0.354 0.000

Computed properties:
energy relative to the lowest polymorph listed for this composition = 12.7 meV per atom
total DFT energy (no corrections) = -163.7 eV/cell
crystal system = monoclinic


The following is a DFT calculation (GGA-PBE) of a geometry-optimized BaPuIr structure.

a b c (Å): 5.059 5.059 5.059
angles (deg): 60.00 60.00 60.00
Positions (direct):
Ba 0.750 0.750 0.750
Pu 0.250 0.250 0.250
Ir 0.000 0.000 0.000

Computed properties:
energy relative to the lowest polymorph listed for this composition = 0.0 meV per atom
size of the total moment = 5.7 μB per formula unit
total DFT energy (no corrections) = -24.8 eV/cell
crystal system = cubic